Record 1
KRhS2Cl | PBE-GGA | relaxed

CIF file:
```
data_KRhS2Cl
_chemical_formula_sum 'K1 Rh1 S2 Cl1'
_symmetry_space_group_name_H-M 'P 4/m m m'
_symmetry_Int_Tables_number 123
_symmetry_space_group_name_Hall '-P 4 2'
_cell_length_a 4.610
_cell_length_b 4.610
_cell_length_c 5.458
_cell_angle_alpha 90.00
_cell_angle_beta 90.00
_cell_angle_gamma 90.00
loop_
_atom_site_label
_atom_site_type_symbol
_atom_site_fract_x
_atom_site_fract_y
_atom_site_fract_z
K1 K 0.000 0.000 0.000
Rh1 Rh 0.500 0.500 0.500
S1 S 0.000 0.500 0.500
Cl1 Cl 0.500 0.500 0.000
```

Summary:
- Magnetic moment: 0.69 μB per formula unit
- Energy relative to the elements, uncorrected: -455 meV per atom
- Energy above the most stable polymorph in this dataset: 0 meV per atom
- DFT total energy: -4.165 eV per atom

***

Record 2
ScPWCl2 | PBE-GGA | relaxed

CIF file:
```
data_ScPWCl2
_chemical_formula_sum 'Sc1 P1 W1 Cl2'
_symmetry_space_group_name_H-M 'P 4/m m m'
_symmetry_Int_Tables_number 123
_symmetry_space_group_name_Hall '-P 4 2'
_cell_length_a 4.750
_cell_length_b 4.750
_cell_length_c 4.823
_cell_angle_alpha 90.00
_cell_angle_beta 90.00
_cell_angle_gamma 90.00
loop_
_atom_site_label
_atom_site_type_symbol
_atom_site_fract_x
_atom_site_fract_y
_atom_site_fract_z
Sc1 Sc 0.000 0.000 0.000
P1 P 0.500 0.500 0.000
W1 W 0.500 0.500 0.500
Cl1 Cl 0.000 0.500 0.500
```

Summary:
- Magnetic moment: 1.36 μB per formula unit
- Energy relative to the elements, uncorrected: 153 meV per atom
- Energy above the most stable polymorph in this dataset: 0 meV per atom
- DFT total energy: -5.525 eV per atom

***

Record 3
NiSnAsBr2 | PBE-GGA | relaxed

CIF file:
```
data_NiSnAsBr2
_chemical_formula_sum 'Ni1 Sn1 As1 Br2'
_symmetry_space_group_name_H-M 'P 4/m m m'
_symmetry_Int_Tables_number 123
_symmetry_space_group_name_Hall '-P 4 2'
_cell_length_a 4.901
_cell_length_b 4.901
_cell_length_c 4.865
_cell_angle_alpha 90.00
_cell_angle_beta 90.00
_cell_angle_gamma 90.00
loop_
_atom_site_label
_atom_site_type_symbol
_atom_site_fract_x
_atom_site_fract_y
_atom_site_fract_z
Ni1 Ni 0.000 0.000 0.000
Sn1 Sn 0.500 0.500 0.500
As1 As 0.000 0.000 0.500
Br1 Br 0.000 0.500 0.000
```

Summary:
- Magnetic moment: 0.00 μB per formula unit
- Energy relative to the elements, uncorrected: 88 meV per atom
- Energy above the most stable polymorph in this dataset: 0 meV per atom
- DFT total energy: -3.468 eV per atom

***

Record 4
Nd4InSe3 | PBE-GGA | relaxed

CIF file:
```
data_Nd4InSe3
_chemical_formula_sum 'Nd8 In2 Se6'
_symmetry_space_group_name_H-M 'I 4/m m m'
_symmetry_Int_Tables_number 139
_symmetry_space_group_name_Hall '-I 4 2'
_cell_length_a 6.098
_cell_length_b 6.098
_cell_length_c 12.190
_cell_angle_alpha 90.00
_cell_angle_beta 90.00
_cell_angle_gamma 90.00
loop_
_atom_site_label
_atom_site_type_symbol
_atom_site_fract_x
_atom_site_fract_y
_atom_site_fract_z
Nd1 Nd 0.000 0.000 0.244
Nd2 Nd 0.000 0.500 0.000
In1 In 0.000 0.000 0.500
Se1 Se 0.000 0.000 0.000
Se2 Se 0.000 0.500 0.250
```

Summary:
- Magnetic moment: 0.00 μB per formula unit
- Energy relative to the elements, uncorrected: -1496 meV per atom
- DFT total energy: -5.529 eV per atom

***

Record 5
NbNO2F | PBE-GGA | relaxed

CIF file:
```
data_NbNO2F
_chemical_formula_sum 'Nb1 N1 O2 F1'
_symmetry_space_group_name_H-M 'P 4/m m m'
_symmetry_Int_Tables_number 123
_symmetry_space_group_name_Hall '-P 4 2'
_cell_length_a 3.939
_cell_length_b 3.939
_cell_length_c 4.205
_cell_angle_alpha 90.00
_cell_angle_beta 90.00
_cell_angle_gamma 90.00
loop_
_atom_site_label
_atom_site_type_symbol
_atom_site_fract_x
_atom_site_fract_y
_atom_site_fract_z
Nb1 Nb 0.000 0.000 0.000
N1 N 0.500 0.500 0.500
O1 O 0.000 0.500 0.000
F1 F 0.000 0.000 0.500
```

Summary:
- Magnetic moment: 3.03 μB per formula unit
- Energy relative to the elements, uncorrected: -979 meV per atom
- DFT total energy: -7.015 eV per atom

***

Record 6
Tl3IrI | PBE-GGA | relaxed

CIF file:
```
data_Tl3IrI
_chemical_formula_sum 'Tl3 Ir1 I1'
_symmetry_space_group_name_H-M 'P m -3 m'
_symmetry_Int_Tables_number 221
_symmetry_space_group_name_Hall '-P 4 2 3'
_cell_length_a 5.394
_cell_length_b 5.394
_cell_length_c 5.394
_cell_angle_alpha 90.00
_cell_angle_beta 90.00
_cell_angle_gamma 90.00
loop_
_atom_site_label
_atom_site_type_symbol
_atom_site_fract_x
_atom_site_fract_y
_atom_site_fract_z
Tl1 Tl 0.000 0.000 0.500
Ir1 Ir 0.000 0.000 0.000
I1 I 0.500 0.500 0.500
```

Summary:
- Magnetic moment: 0.00 μB per formula unit
- Energy relative to the elements, uncorrected: -160 meV per atom
- Energy above the most stable polymorph in this dataset: 0 meV per atom
- DFT total energy: -3.662 eV per atom

***

Record 7
LiTcI2N | PBE-GGA | relaxed

CIF file:
```
data_LiTcI2N
_chemical_formula_sum 'Li1 Tc1 I2 N1'
_symmetry_space_group_name_H-M 'P 4/m m m'
_symmetry_Int_Tables_number 123
_symmetry_space_group_name_Hall '-P 4 2'
_cell_length_a 5.340
_cell_length_b 5.340
_cell_length_c 3.708
_cell_angle_alpha 90.00
_cell_angle_beta 90.00
_cell_angle_gamma 90.00
loop_
_atom_site_label
_atom_site_type_symbol
_atom_site_fract_x
_atom_site_fract_y
_atom_site_fract_z
Li1 Li 0.000 0.000 0.000
Tc1 Tc 0.500 0.500 0.500
I1 I 0.000 0.500 0.000
N1 N 0.000 0.000 0.500
```

Summary:
- Magnetic moment: 3.92 μB per formula unit
- Energy relative to the elements, uncorrected: 1306 meV per atom
- Energy above the most stable polymorph in this dataset: 1331 meV per atom
- DFT total energy: -3.435 eV per atom

***

Record 8
CaAc2Ga4Pd3 | PBE-GGA | relaxed

CIF file:
```
data_CaAc2Ga4Pd3
_chemical_formula_sum 'Ca1 Ac2 Ga4 Pd3'
_symmetry_space_group_name_H-M 'P -4 m 2'
_symmetry_Int_Tables_number 115
_symmetry_space_group_name_Hall 'P -4 -2'
_cell_length_a 4.409
_cell_length_b 4.409
_cell_length_c 11.796
_cell_angle_alpha 90.00
_cell_angle_beta 90.00
_cell_angle_gamma 90.00
loop_
_atom_site_label
_atom_site_type_symbol
_atom_site_fract_x
_atom_site_fract_y
_atom_site_fract_z
Ca1 Ca 0.000 0.000 0.000
Ac1 Ac 0.000 0.500 0.723
Ga1 Ga 0.000 0.000 0.500
Ga2 Ga 0.000 0.500 0.164
Ga3 Ga 0.500 0.500 0.500
Pd1 Pd 0.000 0.500 0.381
Pd2 Pd 0.500 0.500 0.000
```

Summary:
- Magnetic moment: 0.00 μB per formula unit
- Calculated formation energy: -0.667 eV per atom
- DFT total energy: -4.457 eV per atom

***

Please write out number 7 again, unchanged.
LiTcI2N | PBE-GGA | relaxed

CIF file:
```
data_LiTcI2N
_chemical_formula_sum 'Li1 Tc1 I2 N1'
_symmetry_space_group_name_H-M 'P 4/m m m'
_symmetry_Int_Tables_number 123
_symmetry_space_group_name_Hall '-P 4 2'
_cell_length_a 5.340
_cell_length_b 5.340
_cell_length_c 3.708
_cell_angle_alpha 90.00
_cell_angle_beta 90.00
_cell_angle_gamma 90.00
loop_
_atom_site_label
_atom_site_type_symbol
_atom_site_fract_x
_atom_site_fract_y
_atom_site_fract_z
Li1 Li 0.000 0.000 0.000
Tc1 Tc 0.500 0.500 0.500
I1 I 0.000 0.500 0.000
N1 N 0.000 0.000 0.500
```

Summary:
- Magnetic moment: 3.92 μB per formula unit
- Energy relative to the elements, uncorrected: 1306 meV per atom
- Energy above the most stable polymorph in this dataset: 1331 meV per atom
- DFT total energy: -3.435 eV per atom